[1]
AcLaAsP | GGA-PBE | optimized geometry

Cell: 4.4293 4.4293 6.2326 Å, 90.00 90.00 90.00°
Last column: nearest neighbours and their distance in Å.
Space group P4/mmm (No. 123)
Inequivalent atoms, fractional coordinates:
Ac1 0.0000 0.0000 0.0000  2 P 3.12, 4 As 3.13
La1 0.5000 0.5000 0.5000  2 As 3.12, 4 P 3.13
As1 0.5000 0.5000 0.0000  2 La 3.12, 4 Ac 3.13
P1 0.0000 0.0000 0.5000  2 Ac 3.12, 4 La 3.13

calculated volume: 30.57 Å³ per atom
energy of formation: -1.493 eV/atom
magnetic moment: 0.00 μB/atom

[2]
AcLa2PaAs4 | GGA-PBE | optimized geometry

Cell: 7.5011 4.3310 7.5372 Å, 90.00 109.34 90.00°
Last column: nearest neighbours and their distance in Å.
Space group P2/m (No. 10)
Inequivalent atoms, fractional coordinates:
Ac1 0.0000 0.0000 0.0000  6 As 3.11-3.12
La1 0.5000 0.0000 0.5000  6 As 3.03
La2 0.5000 0.5000 0.0000  6 As 3.17-3.20
Pa1 0.0000 0.5000 0.5000  6 As 2.93-2.97
As1 0.2371 0.0000 0.7303  2 Pa 2.97, 3 La 3.03-3.17, 1 Ac 3.11
As2 0.2462 0.5000 0.2679  1 Pa 2.93, 3 La 3.03-3.20, 2 Ac 3.12

calculated volume: 28.88 Å³ per atom
energy of formation: -1.387 eV/atom
magnetic moment: 0.06 μB/atom

[3]
Ac2LaPaAs4 | GGA-PBE | optimized geometry

Cell: 7.5653 4.3633 7.6055 Å, 90.00 109.24 90.00°
Last column: nearest neighbours and their distance in Å.
Space group P2/m (No. 10)
Inequivalent atoms, fractional coordinates:
Ac1 0.0000 0.0000 0.0000  6 As 3.24-3.26
Ac2 0.5000 0.5000 0.0000  6 As 3.14
La1 0.0000 0.5000 0.5000  6 As 3.06
Pa1 0.5000 0.0000 0.5000  6 As 2.92-2.95
As1 0.2568 0.0000 0.7293  1 Pa 2.92, 2 La 3.06, 3 Ac 3.14-3.26
As2 0.2697 0.5000 0.2766  2 Pa 2.95, 1 La 3.06, 3 Ac 3.14-3.24

calculated volume: 29.63 Å³ per atom
energy of formation: -1.371 eV/atom
magnetic moment: 0.05 μB/atom

[4]
AcLaAsPd | GGA-PBE | optimized geometry

Cell: 7.5612 7.5612 7.5612 Å, 90.00 90.00 90.00°
Last column: nearest neighbours and their distance in Å.
Space group F-43m (No. 216)
Inequivalent atoms, fractional coordinates:
Ac1 0.0000 0.0000 0.0000  4 As 3.27, 4 Pd 3.27
La1 0.0000 0.0000 0.5000  4 Pd 3.27, 4 As 3.27
As1 0.2500 0.2500 0.7500  4 Ac 3.27, 4 La 3.27
Pd1 0.2500 0.2500 0.2500  4 Ac 3.27, 4 La 3.27

calculated volume: 27.02 Å³ per atom
energy of formation: -0.893 eV/atom
magnetic moment: 0.17 μB/atom

[5]
AcLaAs2Pd2 | GGA-PBE | optimized geometry

Cell: 4.4602 4.4602 8.1856 Å, 90.00 90.00 120.00°
Last column: nearest neighbours and their distance in Å.
Space group P-3m1 (No. 164)
Inequivalent atoms, fractional coordinates:
Ac1 0.0000 0.0000 0.0000  6 Pd 3.31, 6 As 3.36
La1 0.0000 0.0000 0.5000  6 As 3.22, 6 Pd 3.27
As1 0.3333 0.6667 0.2633  3 Pd 2.58
Pd1 0.3333 0.6667 0.7458  3 As 2.58

calculated volume: 23.50 Å³ per atom
energy of formation: -1.241 eV/atom
magnetic moment: 0.00 μB/atom

[6]
Ac2LaPmAs4 | GGA-PBE | optimized geometry

Cell: 7.6697 4.4321 7.6758 Å, 90.00 109.42 90.00°
Last column: nearest neighbours and their distance in Å.
Space group P2/m (No. 10)
Inequivalent atoms, fractional coordinates:
Ac1 0.0000 0.0000 0.0000  6 As 3.20
Ac2 0.5000 0.5000 0.0000  6 As 3.17-3.18
La1 0.0000 0.5000 0.5000  6 As 3.09
Pm1 0.5000 0.0000 0.5000  6 As 3.06-3.07
As1 0.2489 0.0000 0.7379  1 Pm 3.06, 2 La 3.09, 3 Ac 3.18-3.20
As2 0.2572 0.5000 0.2637  2 Pm 3.07, 1 La 3.09, 3 Ac 3.17-3.20

calculated volume: 30.76 Å³ per atom
energy of formation: -1.502 eV/atom
magnetic moment: 0.00 μB/atom

[7]
Ac2LaPm3As6 | GGA-PBE | optimized geometry

Cell: 19.0418 4.3675 8.7418 Å, 90.00 103.36 90.00°
Last column: nearest neighbours and their distance in Å.
Space group C2/m (No. 12)
Inequivalent atoms, fractional coordinates:
Ac1 0.1659 0.0000 0.3320  6 As 3.14-3.17
La1 0.0000 0.5000 0.0000  6 As 3.11
Pm1 0.0000 0.5000 0.5000  6 As 3.02-3.07
Pm2 0.1665 0.0000 0.8341  6 As 3.02-3.07
As1 0.0038 0.0000 0.7483  3 Pm 3.02-3.07, 2 La 3.11, 1 Ac 3.14
As2 0.1630 0.5000 0.5923  3 Pm 3.02-3.03, 3 Ac 3.16-3.17
As3 0.1677 0.5000 0.0729  3 Pm 3.02-3.07, 1 La 3.11, 2 Ac 3.15

calculated volume: 29.47 Å³ per atom
energy of formation: -1.502 eV/atom
magnetic moment: 0.00 μB/atom

[8]
AcLa2PmAs4 | GGA-PBE | optimized geometry

Cell: 7.5967 4.3911 7.6029 Å, 90.00 109.42 90.00°
Last column: nearest neighbours and their distance in Å.
Space group P2/m (No. 10)
Inequivalent atoms, fractional coordinates:
Ac1 0.0000 0.0000 0.0000  6 As 3.14-3.15
La1 0.5000 0.0000 0.5000  6 As 3.06
La2 0.5000 0.5000 0.0000  6 As 3.13
Pm1 0.0000 0.5000 0.5000  6 As 3.07-3.08
As1 0.2493 0.0000 0.7428  3 La 3.06-3.13, 2 Pm 3.08, 1 Ac 3.14
As2 0.2545 0.5000 0.2590  3 La 3.06-3.13, 1 Pm 3.07, 2 Ac 3.15

calculated volume: 29.90 Å³ per atom
energy of formation: -1.522 eV/atom
magnetic moment: 0.00 μB/atom